# NaMoC2 | the Alexandria database | PBE | relaxed
# - Energy relative to the elements: 811 meV per atom
# - VASP energy: -6.839 eV/atom
# - Magnetic moment: 0.000 μB/atom
# - DOS at the Fermi energy: 10.016 states/eV per cell
# - E above lowest polymorph: 0.00 eV per formula unit
data_NaMoC2
_chemical_formula_sum 'Na4 Mo4 C8'
_cell_length_a 5.489
_cell_length_b 5.489
_cell_length_c 9.408
_cell_angle_alpha 90.00
_cell_angle_beta 90.00
_cell_angle_gamma 90.00
_symmetry_space_group_name_H-M 'I -4 2 d'
_symmetry_Int_Tables_number 122
_symmetry_space_group_name_Hall 'I -4 2bw'
loop_
_atom_site_label
_atom_site_type_symbol
_atom_site_fract_x
_atom_site_fract_y
_atom_site_fract_z
_atom_site_occupancy
Na1 Na 0.000 0.000 0.000 1
Mo1 Mo 0.000 0.000 0.500 1
C1 C 0.131 0.250 0.625 1